{
  "formula": "CePr6YHo2",
  "functional": "GGA-PBE",
  "state": "relaxed",
  "lattice": [[5.6335, -3.5795, 0.0000], [5.6335, 3.5795, 0.0000], [-1.9547, 0.0000, 8.7032]],
  "species": ["Ce", "Pr", "Pr", "Pr", "Pr", "Pr", "Pr", "Y", "Ho", "Ho"],
  "fractional_positions": [[0.0000, 0.0000, 0.0000], [0.0962, 0.5602, 0.2029], [0.1275, 0.1275, 0.4186], [0.4398, 0.9038, 0.7971], [0.5602, 0.0962, 0.2029], [0.8725, 0.8725, 0.5814], [0.9038, 0.4398, 0.7971], [0.5000, 0.5000, 0.5000], [0.4079, 0.4079, 0.8395], [0.5921, 0.5921, 0.1605]],
  "total_energy_ev_per_atom": -4.791,
  "spacegroup": "C2/m, No. 12"
}

{
  "formula": "As2OsCSe",
  "functional": "GGA-PBE",
  "state": "relaxed",
  "lattice": [[4.1786, 0.0000, 0.0000], [0.0000, 4.1786, 0.0000], [0.0000, 0.0000, 4.2666]],
  "species": ["As", "As", "Os", "C", "Se"],
  "fractional_positions": [[0.0000, 0.5000, 0.0000], [0.5000, 0.0000, 0.0000], [0.0000, 0.0000, 0.5000], [0.5000, 0.5000, 0.0000], [0.5000, 0.5000, 0.5000]],
  "spacegroup": "P4/mmm, No. 123",
  "polymorph_energy_mev_per_atom": 0
}

{
  "formula": "Tb4PmTm5",
  "functional": "GGA-PBE",
  "state": "relaxed",
  "lattice": [[3.5356, 0.0000, 0.0000], [-1.6201, 6.4516, 0.0000], [-0.6999, -2.2754, 13.8097]],
  "species": ["Tb", "Tb", "Tb", "Tb", "Pm", "Tm", "Tm", "Tm", "Tm", "Tm"],
  "fractional_positions": [[0.1206, 0.3107, 0.2185], [0.1836, 0.2243, 0.8043], [0.8164, 0.7757, 0.1957], [0.8794, 0.6893, 0.7815], [0.0000, 0.5000, 0.0000], [0.2039, 0.3798, 0.5828], [0.4877, 0.9259, 0.6118], [0.5000, 0.0000, 0.0000], [0.5123, 0.0741, 0.3882], [0.7961, 0.6202, 0.4172]],
  "spacegroup": "P-1, No. 2",
  "polymorph_energy_mev_per_atom": 0
}

{
  "formula": "Li2TmCu4",
  "functional": "GGA-PBE",
  "state": "relaxed",
  "lattice": [[4.0743, -3.3093, 0.0000], [4.0743, 3.3093, 0.0000], [-2.7172, 0.0000, 3.8590]],
  "species": ["Li", "Li", "Tm", "Cu", "Cu", "Cu", "Cu"],
  "fractional_positions": [[0.0003, 0.0003, 0.2503], [0.9997, 0.9997, 0.7497], [0.5000, 0.5000, 0.0000], [0.1185, 0.5001, 0.3092], [0.5001, 0.1185, 0.3092], [0.4999, 0.8815, 0.6908], [0.8815, 0.4999, 0.6908]],
  "total_energy_ev_per_atom": -3.678,
  "spacegroup": "C2/m, No. 12"
}

{
  "formula": "Rb3CrSb",
  "functional": "GGA-PBE",
  "state": "relaxed",
  "lattice": [[7.0806, 0.0000, 0.0000], [0.0000, 7.0806, 0.0000], [0.0000, 0.0000, 7.0806]],
  "species": ["Rb", "Rb", "Rb", "Cr", "Sb"],
  "fractional_positions": [[0.0000, 0.0000, 0.5000], [0.0000, 0.5000, 0.0000], [0.5000, 0.0000, 0.0000], [0.5000, 0.5000, 0.5000], [0.0000, 0.0000, 0.0000]],
  "spacegroup": "Pm-3m, No. 221",
  "polymorph_energy_mev_per_atom": 0
}

{
  "formula": "CaLaPt2",
  "functional": "GGA-PBE",
  "state": "relaxed",
  "lattice": [[2.2653, 1.3078, 6.9923], [-2.2653, 1.3078, 6.9923], [0.0000, -2.6157, 6.9923]],
  "species": ["Ca", "La", "Pt", "Pt"],
  "fractional_positions": [[0.0000, 0.0000, 0.0000], [0.8343, 0.8343, 0.8343], [0.2457, 0.2457, 0.2457], [0.5804, 0.5804, 0.5804]],
  "total_energy_ev_per_atom": -5.491,
  "spacegroup": "R3m, No. 160"
}

{
  "formula": "Cs2TmReO6",
  "functional": "GGA-PBE",
  "state": "relaxed",
  "lattice": [[6.6981, 0.0000, 0.0000], [-3.3491, 5.8008, 0.0000], [0.0000, 0.0000, 5.6996]],
  "species": ["Cs", "Cs", "Tm", "Re", "O", "O", "O", "O", "O", "O"],
  "fractional_positions": [[0.3333, 0.6667, 0.1505], [0.6667, 0.3333, 0.8495], [0.0000, 0.0000, 0.5000], [0.0000, 0.0000, 0.0000], [0.1300, 0.2600, 0.7930], [0.1300, 0.8700, 0.7930], [0.2600, 0.1300, 0.2070], [0.7400, 0.8700, 0.7930], [0.8700, 0.1300, 0.2070], [0.8700, 0.7400, 0.2070]],
  "total_energy_ev_per_atom": -6.914,
  "spacegroup": "P-3m1, No. 164"
}

{
  "formula": "ThBiSe3",
  "functional": "GGA-PBE",
  "state": "relaxed",
  "lattice": [[4.0698, 0.0000, 0.0000], [2.0312, 7.2021, 0.0000], [2.0267, 0.2398, 9.7928]],
  "species": ["Th", "Th", "Bi", "Bi", "Se", "Se", "Se", "Se", "Se", "Se"],
  "fractional_positions": [[0.1512, 0.2676, 0.4299], [0.8488, 0.7324, 0.5701], [0.0764, 0.7850, 0.0636], [0.9236, 0.2150, 0.9364], [0.1771, 0.9885, 0.6581], [0.2839, 0.3200, 0.1112], [0.4669, 0.4137, 0.6526], [0.5331, 0.5863, 0.3474], [0.7161, 0.6800, 0.8888], [0.8229, 0.0115, 0.3419]],
  "spacegroup": "P-1, No. 2",
  "polymorph_energy_mev_per_atom": 39
}

{
  "formula": "Sc4Co2Pb",
  "functional": "GGA-PBE",
  "state": "relaxed",
  "lattice": [[2.3884, -4.1392, 0.0000], [2.3884, 4.1392, 0.0000], [0.0000, 0.0000, 13.6530]],
  "species": ["Sc", "Sc", "Sc", "Sc", "Sc", "Sc", "Sc", "Sc", "Co", "Co", "Co", "Co", "Pb", "Pb"],
  "fractional_positions": [[0.0000, 0.0000, 0.0000], [0.0000, 0.0000, 0.5000], [0.3330, 0.6670, 0.6181], [0.3330, 0.6670, 0.8819], [0.3338, 0.6662, 0.2500], [0.6662, 0.3338, 0.7500], [0.6670, 0.3330, 0.1181], [0.6670, 0.3330, 0.3819], [0.3336, 0.6664, 0.0582], [0.3336, 0.6664, 0.4418], [0.6664, 0.3336, 0.5582], [0.6664, 0.3336, 0.9418], [0.0005, 0.9995, 0.2500], [0.9995, 0.0005, 0.7500]],
  "total_energy_ev_per_atom": -6.417,
  "spacegroup": "Cmcm, No. 63"
}

{
  "formula": "Nb6AlGe",
  "functional": "GGA-PBE",
  "state": "relaxed",
  "lattice": [[5.1967, 0.0000, 0.0000], [0.0000, 5.1967, 0.0000], [0.0000, 0.0000, 5.1967]],
  "species": ["Nb", "Nb", "Nb", "Nb", "Nb", "Nb", "Al", "Ge"],
  "fractional_positions": [[0.0000, 0.2499, 0.5000], [0.0000, 0.7501, 0.5000], [0.2499, 0.5000, 0.0000], [0.5000, 0.0000, 0.2499], [0.5000, 0.0000, 0.7501], [0.7501, 0.5000, 0.0000], [0.0000, 0.0000, 0.0000], [0.5000, 0.5000, 0.5000]],
  "total_energy_ev_per_atom": -8.845,
  "spacegroup": "Pm-3, No. 200"
}

{
  "formula": "SrMg30CuO32",
  "functional": "GGA-PBE",
  "state": "relaxed",
  "lattice": [[8.6257, 0.0000, 0.0000], [0.0000, 8.6257, 0.0000], [0.0000, 0.0000, 8.5391]],
  "species": ["Sr", "Mg", "Mg", "Mg", "Mg", "Mg", "Mg", "Mg", "Mg", "Mg", "Mg", "Mg", "Mg", "Mg", "Mg", "Mg", "Mg", "Mg", "Mg", "Mg", "Mg", "Mg", "Mg", "Mg", "Mg", "Mg", "Mg", "Mg", "Mg", "Mg", "Mg", "Cu", "O", "O", "O", "O", "O", "O", "O", "O", "O", "O", "O", "O", "O", "O", "O", "O", "O", "O", "O", "O", "O", "O", "O", "O", "O", "O", "O", "O", "O", "O", "O", "O"],
  "fractional_positions": [[0.0000, 0.0000, 0.0000], [0.0000, 0.2568, 0.2562], [0.0000, 0.2568, 0.7438], [0.0000, 0.5000, 0.0000], [0.0000, 0.5000, 0.5000], [0.0000, 0.7432, 0.2562], [0.0000, 0.7432, 0.7438], [0.2496, 0.2496, 0.5000], [0.2496, 0.7504, 0.5000], [0.2508, 0.5000, 0.2510], [0.2508, 0.5000, 0.7490], [0.2553, 0.2553, 0.0000], [0.2553, 0.7447, 0.0000], [0.2568, 0.0000, 0.2562], [0.2568, 0.0000, 0.7438], [0.5000, 0.0000, 0.0000], [0.5000, 0.0000, 0.5000], [0.5000, 0.2508, 0.2510], [0.5000, 0.2508, 0.7490], [0.5000, 0.5000, 0.0000], [0.5000, 0.5000, 0.5000], [0.5000, 0.7492, 0.2510], [0.5000, 0.7492, 0.7490], [0.7432, 0.0000, 0.2562], [0.7432, 0.0000, 0.7438], [0.7447, 0.2553, 0.0000], [0.7447, 0.7447, 0.0000], [0.7492, 0.5000, 0.2510], [0.7492, 0.5000, 0.7490], [0.7504, 0.2496, 0.5000], [0.7504, 0.7504, 0.5000], [0.0000, 0.0000, 0.5000], [0.0000, 0.0000, 0.2741], [0.0000, 0.0000, 0.7259], [0.0000, 0.2613, 0.5000], [0.0000, 0.2695, 0.0000], [0.0000, 0.5000, 0.2523], [0.0000, 0.5000, 0.7477], [0.0000, 0.7305, 0.0000], [0.0000, 0.7387, 0.5000], [0.2493, 0.2493, 0.2499], [0.2493, 0.2493, 0.7501], [0.2493, 0.7507, 0.2499], [0.2493, 0.7507, 0.7501], [0.2519, 0.5000, 0.5000], [0.2538, 0.5000, 0.0000], [0.2613, 0.0000, 0.5000], [0.2695, 0.0000, 0.0000], [0.5000, 0.0000, 0.2523], [0.5000, 0.0000, 0.7477], [0.5000, 0.2519, 0.5000], [0.5000, 0.2538, 0.0000], [0.5000, 0.5000, 0.2506], [0.5000, 0.5000, 0.7494], [0.5000, 0.7462, 0.0000], [0.5000, 0.7481, 0.5000], [0.7305, 0.0000, 0.0000], [0.7387, 0.0000, 0.5000], [0.7462, 0.5000, 0.0000], [0.7481, 0.5000, 0.5000], [0.7507, 0.2493, 0.2499], [0.7507, 0.2493, 0.7501], [0.7507, 0.7507, 0.2499], [0.7507, 0.7507, 0.7501]],
  "total_energy_ev_per_atom": -5.915,
  "spacegroup": "P4/mmm, No. 123"
}

{
  "formula": "Cr2AsPb",
  "functional": "GGA-PBE",
  "state": "relaxed",
  "lattice": [[4.6086, 0.0000, 0.0000], [0.0000, 4.6086, 0.0000], [0.0000, 0.0000, 3.7039]],
  "species": ["Cr", "Cr", "As", "Pb"],
  "fractional_positions": [[0.0000, 0.5000, 0.0000], [0.5000, 0.0000, 0.0000], [0.0000, 0.0000, 0.5000], [0.5000, 0.5000, 0.5000]],
  "spacegroup": "P4/mmm, No. 123",
  "polymorph_energy_mev_per_atom": 293
}